Entry 1:
{
  "formula": "Pm2Tm2Sc7",
  "functional": "GGA-PBE",
  "state": "relaxed",
  "cell": [[5.6109, -0.6072, -0.8762], [-1.1643, 7.4166, 1.2247], [-1.1643, -1.4577, 7.3743]],
  "species": ["Pm", "Sc", "Tm", "Sc", "Tm", "Sc", "Sc", "Sc", "Sc", "Pm", "Sc"],
  "frac_coords": [[0.4038, 0.7624, 0.7624], [0.8407, 0.5990, 0.0603], [0.5000, 0.7772, 0.2228], [0.1980, 0.4082, 0.4082], [0.5000, 0.2228, 0.7772], [0.0000, 0.0000, 0.0000], [0.1593, 0.4010, 0.9397], [0.8407, 0.0603, 0.5990], [0.8020, 0.5918, 0.5918], [0.5962, 0.2376, 0.2376], [0.1593, 0.9397, 0.4010]],
  "dos_ef_per_ev_fu": 19.7,
  "total_magnetization_mub_per_cell": 0.00,
  "formation_enthalpy_0k_mev_per_atom": 173
}

Entry 2:
{
  "formula": "Tb4GaAsS2",
  "functional": "GGA-PBE",
  "state": "relaxed",
  "cell": [[-2.8448, -2.1185, 1.8289], [4.2298, -0.8503, 5.5943], [-1.0718, 5.3258, 4.5018]],
  "species": ["Ga", "S", "S", "Tb", "As", "Tb", "Tb", "Tb"],
  "frac_coords": [[0.0000, 0.5000, 0.5000], [0.0000, 0.0000, 0.0000], [0.5000, 0.0000, 0.5000], [0.5000, 0.2428, 0.7546], [0.5000, 0.5000, 0.0000], [0.0000, 0.7517, 0.7488], [0.0000, 0.2483, 0.2512], [0.5000, 0.7572, 0.2454]],
  "dos_ef_per_ev_fu": 2.9,
  "total_magnetization_mub_per_cell": 0.00,
  "raw_formation_energy_ev_per_atom": -1.521
}

Entry 3:
{
  "formula": "Ba2SrTb3O8",
  "functional": "GGA-PBE",
  "state": "relaxed",
  "cell": [[-1.7883, -6.3767, 2.5796], [3.1808, -5.8541, -2.4751], [4.8012, -3.5463, 4.3532]],
  "species": ["O", "O", "Sr", "Ba", "O", "O", "O", "O", "Ba", "Tb", "Tb", "O", "O", "Tb"],
  "frac_coords": [[0.2500, 0.2500, 0.8053], [0.7515, 0.7515, 0.2045], [0.8796, 0.8796, 0.3612], [0.4995, 0.4995, 0.5014], [0.7515, 0.2925, 0.2045], [0.6948, 0.2500, 0.8053], [0.2925, 0.7515, 0.2045], [0.2500, 0.6948, 0.8053], [0.1240, 0.1240, 0.6280], [0.9987, 0.4994, 0.0025], [0.4994, 0.9987, 0.0025], [0.2688, 0.2688, 0.1935], [0.7330, 0.7330, 0.8010], [0.4994, 0.4994, 0.0025]],
  "dos_ef_per_ev_fu": 10.5,
  "total_magnetization_mub_per_cell": 1.09,
  "raw_formation_energy_ev_per_atom": -2.935
}

Entry 4:
{
  "formula": "Na2TlCl6",
  "functional": "GGA-PBE",
  "state": "relaxed",
  "cell": [[7.2290, 0.0000, 0.2633], [0.0000, 7.2765, 0.0000], [-0.5378, 0.0000, 10.1020]],
  "species": ["Tl", "Cl", "Cl", "Cl", "Na", "Na", "Cl", "Cl", "Cl", "Na", "Tl", "Na", "Cl", "Cl", "Cl", "Cl", "Cl", "Cl"],
  "frac_coords": [[0.0000, 0.0000, 0.5000], [0.1708, 0.2371, 0.3448], [0.6708, 0.2629, 0.8448], [0.7951, 0.7113, 0.9818], [0.5082, 0.9727, 0.6998], [0.9918, 0.4727, 0.8002], [0.3258, 0.6758, 0.8118], [0.2049, 0.2887, 0.0182], [0.8258, 0.8242, 0.3118], [0.4918, 0.0273, 0.3002], [0.5000, 0.5000, 0.0000], [0.0082, 0.5273, 0.1998], [0.3292, 0.7371, 0.1552], [0.1742, 0.1758, 0.6882], [0.7049, 0.2113, 0.5182], [0.6742, 0.3242, 0.1882], [0.8292, 0.7629, 0.6552], [0.2951, 0.7887, 0.4818]],
  "dos_ef_per_ev_fu": 6.4,
  "total_magnetization_mub_per_cell": 1.93,
  "raw_formation_energy_ev_per_atom": -0.987
}

Entry 5:
{
  "formula": "FeRe2Cl",
  "functional": "GGA-PBE",
  "state": "relaxed",
  "cell": [[5.1053, 0.0133, -0.0095], [2.4114, 4.5000, 0.0095], [-3.2026, -3.1822, 2.3836]],
  "species": ["Fe", "Re", "Re", "Cl"],
  "frac_coords": [[0.2689, 0.7689, 0.5000], [0.7337, 0.2337, 0.5000], [0.0002, 0.0002, 0.0000], [0.4972, 0.4972, 0.0000]],
  "e_above_lowest_polymorph_ev_per_atom": 0.550,
  "dos_ef_per_ev_fu": 3.5,
  "total_magnetization_mub_per_cell": 1.73,
  "raw_formation_energy_ev_per_atom": 0.853
}

Entry 6:
{
  "formula": "Mg2TiSb2",
  "functional": "GGA-PBE",
  "state": "relaxed",
  "cell": [[7.3816, 0.0000, 0.0000], [0.0000, 7.3816, 0.0000], [0.0000, 0.0000, 4.2370]],
  "species": ["Sb", "Mg", "Sb", "Mg", "Mg", "Ti", "Mg", "Ti", "Sb", "Sb"],
  "frac_coords": [[0.8435, 0.6565, 0.0000], [0.8441, 0.3441, 0.5000], [0.3435, 0.8435, 0.0000], [0.1559, 0.6559, 0.5000], [0.6559, 0.8441, 0.5000], [0.5000, 0.5000, 0.0000], [0.3441, 0.1559, 0.5000], [0.0000, 0.0000, 0.0000], [0.6565, 0.1565, 0.0000], [0.1565, 0.3435, 0.0000]],
  "dos_ef_per_ev_fu": 2.8,
  "total_magnetization_mub_per_cell": 0.00,
  "raw_formation_energy_ev_per_atom": -0.181
}

Entry 7:
{
  "formula": "Ba2AcCrN4",
  "functional": "GGA-PBE",
  "state": "relaxed",
  "cell": [[5.6701, 0.0000, 0.0000], [0.0000, 7.6707, 0.0000], [0.0000, 0.0000, 7.6921]],
  "species": ["N", "Cr", "Ac", "Ba", "N", "Cr", "Ba", "N", "N", "N", "N", "Ba", "N", "N", "Ac", "Ba"],
  "frac_coords": [[0.9176, 0.2631, 0.8040], [0.5080, 0.8398, 0.5000], [0.4684, 0.8905, 0.0000], [0.9551, 0.6482, 0.2413], [0.9603, 0.9280, 0.0000], [0.0080, 0.1602, 0.0000], [0.9551, 0.6482, 0.7587], [0.4176, 0.7369, 0.6960], [0.3178, 0.1776, 0.0000], [0.4176, 0.7369, 0.3040], [0.9176, 0.2631, 0.1960], [0.4551, 0.3518, 0.2587], [0.8178, 0.8224, 0.5000], [0.4603, 0.0720, 0.5000], [0.9684, 0.1095, 0.5000], [0.4551, 0.3518, 0.7413]],
  "dos_ef_per_ev_fu": 1.6,
  "total_magnetization_mub_per_cell": 1.94,
  "raw_formation_energy_ev_per_atom": -0.726
}

Copy entry 1 word for word.
{
  "formula": "Pm2Tm2Sc7",
  "functional": "GGA-PBE",
  "state": "relaxed",
  "cell": [[5.6109, -0.6072, -0.8762], [-1.1643, 7.4166, 1.2247], [-1.1643, -1.4577, 7.3743]],
  "species": ["Pm", "Sc", "Tm", "Sc", "Tm", "Sc", "Sc", "Sc", "Sc", "Pm", "Sc"],
  "frac_coords": [[0.4038, 0.7624, 0.7624], [0.8407, 0.5990, 0.0603], [0.5000, 0.7772, 0.2228], [0.1980, 0.4082, 0.4082], [0.5000, 0.2228, 0.7772], [0.0000, 0.0000, 0.0000], [0.1593, 0.4010, 0.9397], [0.8407, 0.0603, 0.5990], [0.8020, 0.5918, 0.5918], [0.5962, 0.2376, 0.2376], [0.1593, 0.9397, 0.4010]],
  "dos_ef_per_ev_fu": 19.7,
  "total_magnetization_mub_per_cell": 0.00,
  "formation_enthalpy_0k_mev_per_atom": 173
}

Which formula does entry 6 have? Mg2TiSb2